(1)
Computed, not measured: Ta2NbSe2 after structural relaxation at the PBE-GGA level of DFT.

Structure (CIF):
```
data_Ta2NbSe2
_cell_length_a 7.600
_cell_length_b 7.600
_cell_length_c 3.128
_cell_angle_alpha 90.00
_cell_angle_beta 90.00
_cell_angle_gamma 90.00
_space_group_name_H-M_alt 'P 1'
_space_group_IT_number 1
loop_
_space_group_symop_operation_xyz
'x,y,z'
loop_
_atom_site_label
_atom_site_fract_x
_atom_site_fract_y
_atom_site_fract_z
Nb1 0.000 0.000 0.000
Nb2 0.500 0.500 0.000
Se1 0.853 0.353 0.500
Se2 0.353 0.147 0.500
Se3 0.147 0.647 0.500
Se4 0.647 0.853 0.500
Ta1 0.850 0.650 0.000
Ta2 0.150 0.350 0.000
Ta3 0.350 0.850 0.000
Ta4 0.650 0.150 0.000
```

space-group type: P4/mbm
formation energy from raw total energies: 1.1 eV per formula unit
calculated density: 11.26 g/cm3
distance to the lowest polymorph of the same formula: 0.595 eV/atom



(2)
Computed, not measured: DyTiC after structural relaxation at the PBE-GGA level of DFT.

Structure (CIF):
```
data_DyTiC
_cell_length_a 5.578
_cell_length_b 3.314
_cell_length_c 3.314
_cell_angle_alpha 120.00
_cell_angle_beta 90.00
_cell_angle_gamma 90.00
_space_group_name_H-M_alt 'P 1'
_space_group_IT_number 1
loop_
_space_group_symop_operation_xyz
'x,y,z'
loop_
_atom_site_label
_atom_site_fract_x
_atom_site_fract_y
_atom_site_fract_z
Ti1 0.205 0.333 0.667
Dy1 0.756 0.667 0.333
C1 0.040 0.000 0.000
```

E_form: -0.284 eV per atom
space-group type: P3m1
calculated density: 6.96 g/cm3
distance to the lowest polymorph of the same formula: 0.000 eV/atom



(3)
Computed, not measured: NiGeMo2N after structural relaxation at the PBE-GGA level of DFT.

Structure (CIF):
```
data_NiGeMo2N
_cell_length_a 4.186
_cell_length_b 4.186
_cell_length_c 3.674
_cell_angle_alpha 90.00
_cell_angle_beta 90.00
_cell_angle_gamma 90.00
_space_group_name_H-M_alt 'P 1'
_space_group_IT_number 1
loop_
_space_group_symop_operation_xyz
'x,y,z'
loop_
_atom_site_label
_atom_site_fract_x
_atom_site_fract_y
_atom_site_fract_z
Ge1 0.500 0.500 0.500
N1 0.000 0.000 0.000
Ni1 0.000 0.000 0.500
Mo1 0.000 0.500 0.000
Mo2 0.500 0.000 0.000
```

space-group type: P4/mmm
formation energy from raw total energies: -0.4 eV per formula unit
calculated density: 8.70 g/cm3



(4)
Computed, not measured: Ba2Sr2Hg after structural relaxation at the PBE-GGA level of DFT.

Structure (CIF):
```
data_Ba2Sr2Hg
_cell_length_a 8.892
_cell_length_b 8.892
_cell_length_c 6.871
_cell_angle_alpha 90.00
_cell_angle_beta 90.00
_cell_angle_gamma 90.00
_space_group_name_H-M_alt 'P 1'
_space_group_IT_number 1
loop_
_space_group_symop_operation_xyz
'x,y,z'
loop_
_atom_site_label
_atom_site_fract_x
_atom_site_fract_y
_atom_site_fract_z
Sr1 0.166 0.666 0.500
Sr2 0.834 0.334 0.500
Sr3 0.334 0.166 0.500
Sr4 0.666 0.834 0.500
Hg1 0.000 0.000 0.000
Hg2 0.500 0.500 0.000
Ba1 0.158 0.342 0.000
Ba2 0.658 0.158 0.000
Ba3 0.842 0.658 0.000
Ba4 0.342 0.842 0.000
```

E_form: -0.021 eV per atom
space-group type: P4/mbm
calculated density: 3.98 g/cm3
distance to the lowest polymorph of the same formula: 0.195 eV/atom



Total magnetization (μB per cell)
0.00, 0.05, 0.00, 0.00
D(E_F) (states/eV per cell)
10.40, 4.05, 3.00, 13.65